# 1
Here is a relaxed structure of Mg2TlCoCu from the Alexandria database. Energies are from PBE.

Properties
Total DFT energy (no corrections) in Ry/atom: -0.21585
Total magnetization in μB/f.u.: 0.7
Formation energy from the elements in eV per atom: 0.41
Symmetry: P4/mmm, No. 123
Crystal system: tetragonal

a = 4.8781 Å, b = 4.8781 Å, c = 4.5345 Å
α = 90.00°, β = 90.00°, γ = 90.00°
Fractional coordinates of all 5 atoms:
Mg  0.0000  0.5000  0.0000
Mg  0.5000  0.0000  0.0000
Tl  0.0000  0.0000  0.5000
Co  0.5000  0.5000  0.0000
Cu  0.5000  0.5000  0.5000



# 2
Here is a relaxed structure of CePa4Ga4 from the Alexandria database. Energies are from PBE.

Properties
Total DFT energy (no corrections) in Ry/atom: -0.46417
Total magnetization in μB/f.u.: 0.0
Formation energy from the elements in eV per atom: -0.09
Symmetry: P4_2/n, No. 86
Crystal system: tetragonal

a = 8.2909 Å, b = 8.2909 Å, c = 5.8973 Å
α = 90.00°, β = 90.00°, γ = 90.00°
Fractional coordinates of all 18 atoms:
Ce  0.2500  0.2500  0.2500
Ce  0.7500  0.7500  0.7500
Pa  0.0890  0.8119  0.6243
Pa  0.1881  0.5890  0.1243
Pa  0.3119  0.9110  0.1243
Pa  0.4110  0.6881  0.6243
Pa  0.5890  0.3119  0.3757
Pa  0.6881  0.0890  0.8757
Pa  0.8119  0.4110  0.8757
Pa  0.9110  0.1881  0.3757
Ga  0.0564  0.1411  0.8509
Ga  0.1411  0.4436  0.6491
Ga  0.3589  0.0564  0.6491
Ga  0.4436  0.3589  0.8509
Ga  0.5564  0.6411  0.1491
Ga  0.6411  0.9436  0.3509
Ga  0.8589  0.5564  0.3509
Ga  0.9436  0.8589  0.1491



# 3
Here is a relaxed structure of Cs3Nd2PaSe6 from the Alexandria database. Energies are from PBE.

Properties
Total DFT energy (no corrections) in Ry/atom: -0.37585
Total magnetization in μB/f.u.: 1.7
E_form (uncorrected) in eV/atom: -1.57
Symmetry: C2/m, No. 12
Crystal system: monoclinic

a = 7.5318 Å, b = 7.5318 Å, c = 8.7951 Å
α = 98.20°, β = 98.20°, γ = 120.00°
Fractional coordinates of all 12 atoms:
Cs  0.0000  0.0000  0.0000
Cs  0.3303  0.6697  0.0000
Cs  0.6697  0.3303  0.0000
Nd  0.1664  0.8336  0.5000
Nd  0.8336  0.1664  0.5000
Pa  0.5000  0.5000  0.5000
Se  0.1137  0.4367  0.3098
Se  0.2411  0.2411  0.6913
Se  0.4367  0.1137  0.3098
Se  0.5633  0.8863  0.6902
Se  0.7589  0.7589  0.3087
Se  0.8863  0.5633  0.6902



# 4
Here is a relaxed structure of TbPmLu from the Alexandria database. Energies are from PBE.

Properties
Total DFT energy (no corrections) in Ry/atom: -0.33861
Total magnetization in μB/f.u.: 0.0
Formation energy from the elements in eV per atom: 0.03
Symmetry: I4mm, No. 107
Distance to the lowest polymorph of the same formula in eV per atom: 0.000
Crystal system: tetragonal

a = 7.9545 Å, b = 7.9545 Å, c = 7.9545 Å
α = 154.15°, β = 154.15°, γ = 36.89°
Fractional coordinates of all 3 atoms:
Tb  0.0000  0.0000  0.0000
Pm  0.3298  0.3298  0.0000
Lu  0.6632  0.6632  0.0000



# 5
Here is a relaxed structure of NbOsPb2 from the Alexandria database. Energies are from PBE.

Properties
Total DFT energy (no corrections) in Ry/atom: -0.46722
Total magnetization in μB/f.u.: 2.1
Formation energy from the elements in eV per atom: 0.82
Symmetry: Fm-3m, No. 225
Distance to the lowest polymorph of the same formula in eV per atom: 0.000
Crystal system: cubic

a = 4.8574 Å, b = 4.8574 Å, c = 4.8574 Å
α = 60.00°, β = 60.00°, γ = 60.00°
Fractional coordinates of all 4 atoms:
Nb  0.0000  0.0000  0.0000
Os  0.5000  0.5000  0.5000
Pb  0.2500  0.2500  0.2500
Pb  0.7500  0.7500  0.7500



# 6
Here is a relaxed structure of Be2Bi from the Alexandria database. Energies are from PBE.

Properties
Total DFT energy (no corrections) in Ry/atom: -0.25653
Total magnetization in μB/f.u.: 0.0
Formation energy from the elements in eV per atom: 0.29
Symmetry: P-1, No. 2
Distance to the lowest polymorph of the same formula in eV per atom: 0.090
Crystal system: triclinic

a = 3.5717 Å, b = 3.9570 Å, c = 8.0487 Å
α = 98.56°, β = 91.55°, γ = 114.58°
Fractional coordinates of all 6 atoms:
Be  0.0411  0.0554  0.3774
Be  0.3428  0.6941  0.4687
Be  0.6572  0.3059  0.5313
Be  0.9589  0.9446  0.6226
Bi  0.2534  0.6071  0.8131
Bi  0.7466  0.3929  0.1869



# 7
Here is a relaxed structure of CaGe3Pb from the Alexandria database. Energies are from PBE.

Properties
Total DFT energy (no corrections) in Ry/atom: -0.23003
Total magnetization in μB/f.u.: 0.6
Formation energy from the elements in eV per atom: 0.78
Symmetry: Pm-3m, No. 221
Distance to the lowest polymorph of the same formula in eV per atom: 0.169
Crystal system: cubic

a = 5.3720 Å, b = 5.3720 Å, c = 5.3720 Å
α = 90.00°, β = 90.00°, γ = 90.00°
Fractional coordinates of all 5 atoms:
Ca  0.0000  0.0000  0.0000
Ge  0.0000  0.0000  0.5000
Ge  0.0000  0.5000  0.0000
Ge  0.5000  0.0000  0.0000
Pb  0.5000  0.5000  0.5000



# 8
Here is a relaxed structure of CsRb2As2 from the Alexandria database. Energies are from PBE.

Properties
Total DFT energy (no corrections) in Ry/atom: -0.20174
Total magnetization in μB/f.u.: 1.1
Formation energy from the elements in eV per atom: -0.33
Symmetry: C2/c, No. 15
Distance to the lowest polymorph of the same formula in eV per atom: 0.000
Crystal system: monoclinic

a = 7.3609 Å, b = 7.3609 Å, c = 9.9808 Å
α = 103.30°, β = 103.30°, γ = 53.10°
Fractional coordinates of all 10 atoms:
Cs  0.1665  0.8335  0.7500
Cs  0.8335  0.1665  0.2500
Rb  0.1737  0.5053  0.3477
Rb  0.4947  0.8263  0.1523
Rb  0.5053  0.1737  0.8477
Rb  0.8263  0.4947  0.6523
As  0.0092  0.6601  0.0015
As  0.3399  0.9908  0.4985
As  0.6601  0.0092  0.5015
As  0.9908  0.3399  0.9985



# 9
Here is a relaxed structure of Tm5ThBi6 from the Alexandria database. Energies are from PBE.

Properties
Total DFT energy (no corrections) in Ry/atom: -0.38001
Total magnetization in μB/f.u.: 0.0
Formation energy from the elements in eV per atom: -0.75
Symmetry: C2/m, No. 12
Crystal system: monoclinic

a = 7.7254 Å, b = 7.7254 Å, c = 7.7331 Å
α = 99.62°, β = 99.62°, γ = 119.99°
Fractional coordinates of all 12 atoms:
Tm  0.0000  0.0000  0.0000
Tm  0.1681  0.8319  0.5000
Tm  0.3370  0.6630  0.0000
Tm  0.6630  0.3370  0.0000
Tm  0.8319  0.1681  0.5000
Th  0.5000  0.5000  0.5000
Bi  0.0743  0.4143  0.2443
Bi  0.2427  0.2427  0.7510
Bi  0.4143  0.0743  0.2443
Bi  0.5857  0.9257  0.7557
Bi  0.7573  0.7573  0.2490
Bi  0.9257  0.5857  0.7557



# 10
Here is a relaxed structure of NaSr2HgPd from the Alexandria database. Energies are from PBE.

Properties
Total DFT energy (no corrections) in Ry/atom: -0.16793
Total magnetization in μB/f.u.: 0.0
Formation energy from the elements in eV per atom: -0.25
Symmetry: P4/mmm, No. 123
Distance to the lowest polymorph of the same formula in eV per atom: 0.054
Crystal system: tetragonal

a = 5.8681 Å, b = 5.8681 Å, c = 5.3880 Å
α = 90.00°, β = 90.00°, γ = 90.00°
Fractional coordinates of all 5 atoms:
Na  0.0000  0.0000  0.0000
Sr  0.0000  0.5000  0.5000
Sr  0.5000  0.0000  0.5000
Hg  0.5000  0.5000  0.0000
Pd  0.0000  0.0000  0.5000



# 11
Here is a relaxed structure of Al3PBr from the Alexandria database. Energies are from PBE.

Properties
Total DFT energy (no corrections) in Ry/atom: -0.18632
Total magnetization in μB/f.u.: 0.0
E_form (uncorrected) in eV/atom: 1.13
Symmetry: Pm-3m, No. 221
Distance to the lowest polymorph of the same formula in eV per atom: 0.770
Crystal system: cubic

a = 5.1837 Å, b = 5.1837 Å, c = 5.1837 Å
α = 90.00°, β = 90.00°, γ = 90.00°
Fractional coordinates of all 5 atoms:
Al  0.0000  0.0000  0.5000
Al  0.0000  0.5000  0.0000
Al  0.5000  0.0000  0.0000
P  0.5000  0.5000  0.5000
Br  0.0000  0.0000  0.0000



# 12
Here is a relaxed structure of Ce3ThSi4 from the Alexandria database. Energies are from PBE.

Properties
Total DFT energy (no corrections) in Ry/atom: -0.46597
Total magnetization in μB/f.u.: 0.8
E_form (uncorrected) in eV/atom: -0.48
Symmetry: Immm, No. 71
Crystal system: orthorhombic

a = 8.7520 Å, b = 8.7520 Å, c = 8.7520 Å
α = 153.59°, β = 136.60°, γ = 51.52°
Fractional coordinates of all 8 atoms:
Ce  0.0000  0.0000  0.0000
Ce  0.3070  0.8070  0.5000
Ce  0.6930  0.1930  0.5000
Th  0.5000  0.5000  0.0000
Si  0.0493  0.3673  0.6819
Si  0.3146  0.6327  0.6819
Si  0.6854  0.3673  0.3181
Si  0.9507  0.6327  0.3181



- What is the total magnetization in the tenth record?
  0.0 μB/f.u.



- The highest total magnetization belongs to which entry?
  NbOsPb2



- The highest total magnetization belongs to which entry?
  NbOsPb2